# 1
Below is crystalline Ca2SiTcRh at its relaxed geometry, with properties calculated at the GGA-PBE level.

## Properties
calculated density: 4.15 g/cm³
space group: P4/mmm (123)
formation energy (no corrections): 670 meV/atom

Cell: 5.2175 5.2175 4.5487 Å, 90.00 90.00 90.00°
Positions (direct):
1 Ca 0.0000 0.5000 0.0000
2 Ca 0.5000 0.0000 0.0000
3 Si 0.0000 0.0000 0.5000
4 Tc 0.0000 0.0000 0.0000
5 Rh 0.5000 0.5000 0.5000


# 2
Below is crystalline Ag7TeS2Cl2 at its relaxed geometry, with properties calculated at the GGA-PBE level.

## Properties
calculated density: 5.89 g/cm³
space group: Imm2 (44)
formation energy (no corrections): -130 meV/atom

Cell: 11.3443 11.3443 11.3443 Å, 158.04 38.94 148.25°
Positions (direct):
1 Ag 0.0000 0.0000 0.0000
2 Ag 0.1308 0.5419 0.5889
3 Ag 0.3665 0.1528 0.2137
4 Ag 0.5601 0.6533 0.9068
5 Ag 0.7466 0.6533 0.0932
6 Ag 0.9391 0.1528 0.7863
7 Ag 0.9530 0.5419 0.4111
8 Te 0.6678 0.1678 0.5000
9 S 0.1405 0.2419 0.8986
10 S 0.3433 0.2419 0.1014
11 Cl 0.4918 0.7069 0.7850
12 Cl 0.9219 0.7069 0.2150


# 3
Below is crystalline ZrMoH4 at its relaxed geometry, with properties calculated at the GGA-PBE level.

## Properties
calculated density: 6.56 g/cm³
space group: C2/m (12)

Cell: 4.5824 4.5828 4.6060 Å, 90.00 90.24 90.00°
Positions (direct):
1 Zr 0.0000 0.0000 0.0000
2 Zr 0.5000 0.5000 0.0000
3 Mo 0.0000 0.5000 0.5000
4 Mo 0.5000 0.0000 0.5000
5 H 0.2499 0.2492 0.7219
6 H 0.2501 0.2508 0.2781
7 H 0.2501 0.7492 0.2781
8 H 0.2499 0.7508 0.7219
9 H 0.7501 0.2492 0.2781
10 H 0.7499 0.2508 0.7219
11 H 0.7499 0.7492 0.7219
12 H 0.7501 0.7508 0.2781


# 4
Below is crystalline TaS at its relaxed geometry, with properties calculated at the GGA-PBE level.

## Properties
calculated density: 9.91 g/cm³
space group: P6_3mc (186)
formation energy (no corrections): -537 meV/atom

Cell: 3.1640 3.1640 8.2373 Å, 90.00 90.00 120.00°
Positions (direct):
1 Ta 0.3333 0.6667 0.0000
2 Ta 0.6667 0.3333 0.5000
3 S 0.3333 0.6667 0.6980
4 S 0.6667 0.3333 0.1980


# 5
Below is crystalline Ba5PbO8 at its relaxed geometry, with properties calculated at the GGA-PBE level.

## Properties
calculated density: 6.29 g/cm³
space group: I-4 (82)
formation energy (no corrections): -1861 meV/atom

Cell: 7.0585 7.0585 7.0585 Å, 111.62 111.62 105.25°
Positions (direct):
1 Ba 0.0000 0.0000 0.0000
2 Ba 0.1253 0.5134 0.8732
3 Ba 0.4866 0.3598 0.6118
4 Ba 0.6402 0.2521 0.1268
5 Ba 0.7479 0.8747 0.3882
6 Pb 0.2500 0.7500 0.5000
7 O 0.0048 0.2444 0.3983
8 O 0.2398 0.0626 0.7105
9 O 0.3521 0.5293 0.2895
10 O 0.3935 0.9952 0.2396
11 O 0.4707 0.7602 0.8228
12 O 0.7556 0.1539 0.7604
13 O 0.8461 0.6065 0.6017
14 O 0.9374 0.6479 0.1772


# 6
Below is crystalline UTe2PdO at its relaxed geometry, with properties calculated at the GGA-PBE level.

## Properties
calculated density: 9.19 g/cm³
space group: P4/nmm (129)
formation energy (no corrections): -1344 meV/atom

Cell: 3.9388 3.9388 14.3396 Å, 90.00 90.00 90.00°
Positions (direct):
1 U 0.2500 0.2500 0.0861
2 U 0.7500 0.7500 0.9139
3 Te 0.2500 0.2500 0.4177
4 Te 0.2500 0.2500 0.7949
5 Te 0.7500 0.7500 0.2051
6 Te 0.7500 0.7500 0.5823
7 Pd 0.2500 0.2500 0.6054
8 Pd 0.7500 0.7500 0.3946
9 O 0.2500 0.7500 0.0000
10 O 0.7500 0.2500 0.0000


no.,total energy (eV per atom),spin magnetization (μB per formula unit)
1,-4.76,0.0
2,-3.05,0.0
3,-5.75,0.0
4,-8.53,0.0
5,-5.65,2.1
6,-6.89,2.3